The following is a DFT calculation (PBE-GGA) of a relaxed PmBe2SiOs crystal.

Properties
As for the uncorrected formation energy: -0.29 eV/atom. As for the space group: Imm2, No. 44. Its volume is 15.54 Å³/atom. The value obtained for the energy is -6.057 eV/atom.

Unit cell a=3.8715 b=3.8668 c=5.8669 alpha=109.24 beta=109.27 gamma=90.00
Fractional positions:
Os  0.1861  0.6861  0.3722
Be  0.6908  0.1908  0.3817
Be  0.0697  0.0697  0.1394
Pm  0.4465  0.4465  0.8929
Si  0.8191  0.8191  0.6381



The following is a DFT calculation (PBE-GGA) of a relaxed CoSiTeI2 crystal.

Properties
As for the uncorrected formation energy: 0.92 eV/atom. As for the space group: P4/mmm, No. 123. For the energy above the lowest structure with this stoichiometry, the calculation gives 0.266 eV per atom. Its volume is 32.39 Å³/atom. The value obtained for the energy is -2.838 eV/atom.

Unit cell a=5.4558 b=5.4558 c=5.4411 alpha=90.00 beta=90.00 gamma=90.00
Each line ends with the local moment (μB).
Fractional positions:
Co  0.5000  0.5000  0.5000  2.24
Te  0.0000  0.0000  0.5000  0.05
I  0.5000  0.0000  0.0000  0.04
I  0.0000  0.5000  0.0000  0.04
Si  0.0000  0.0000  0.0000  0.00



The following is a DFT calculation (PBE-GGA) of a relaxed TaAl2Se crystal.

Properties
As for the uncorrected formation energy: -0.13 eV/atom. As for the space group: Pm, No. 6. Its volume is 17.89 Å³/atom. The value obtained for the energy is -5.833 eV/atom.

Unit cell a=4.3918 b=3.2045 c=5.3269 alpha=72.61 beta=90.00 gamma=90.00
Fractional positions:
Ta  0.5000  0.5584  0.7591
Al  0.5000  0.2882  0.2972
Al  0.0000  0.9540  0.9689
Se  0.0000  0.6995  0.4749



The following is a DFT calculation (PBE-GGA) of a relaxed K3Mg2Se4 crystal.

Properties
As for the uncorrected formation energy: -1.12 eV/atom. As for the space group: C2/m, No. 12. Its volume is 30.49 Å³/atom. The value obtained for the energy is -3.392 eV/atom.

Unit cell a=4.4396 b=7.7920 c=8.9673 alpha=113.29 beta=104.33 gamma=90.00
Each line ends with the local moment (μB).
Fractional positions:
Mg  0.3271  0.0340  0.6542  0.00
Mg  0.6729  0.9660  0.3458  0.00
K  0.8730  0.4657  0.7459  0.00
K  0.0000  0.0000  0.0000  0.01
K  0.1270  0.5343  0.2541  0.00
Se  0.4792  0.2882  0.9584  0.23
Se  0.7873  0.8262  0.5747  0.01
Se  0.2127  0.1738  0.4253  0.01
Se  0.5208  0.7118  0.0416  0.23



The following is a DFT calculation (PBE-GGA) of a relaxed CaThS3 crystal.

Properties
As for the uncorrected formation energy: -2.02 eV/atom. As for the space group: Pnma, No. 62. For the energy above the lowest structure with this stoichiometry, the calculation gives 0.000 eV per atom. Its volume is 24.42 Å³/atom. The value obtained for the energy is -6.379 eV/atom.

Unit cell a=4.0979 b=7.6350 c=15.6093 alpha=90.00 beta=90.00 gamma=90.00
Fractional positions:
Ca  0.7500  0.9009  0.7771
Ca  0.2500  0.0991  0.2229
Ca  0.2500  0.5991  0.2771
Ca  0.7500  0.4009  0.7229
S  0.7500  0.9817  0.5945
S  0.2500  0.0183  0.4055
S  0.7500  0.6245  0.4345
S  0.2500  0.6765  0.7166
S  0.7500  0.8235  0.2166
S  0.2500  0.8755  0.9345
S  0.7500  0.1245  0.0655
S  0.2500  0.1765  0.7834
S  0.2500  0.5183  0.0945
S  0.7500  0.4817  0.9055
S  0.7500  0.3235  0.2834
S  0.2500  0.3755  0.5655
Th  0.7500  0.2460  0.4587
Th  0.7500  0.7460  0.0413
Th  0.2500  0.2540  0.9587
Th  0.2500  0.7540  0.5413



The following is a DFT calculation (PBE-GGA) of a relaxed HgSeCl2 crystal.

Properties
As for the uncorrected formation energy: 0.00 eV/atom. As for the space group: Cm, No. 8. For the energy above the lowest structure with this stoichiometry, the calculation gives 0.284 eV per atom. Its volume is 33.83 Å³/atom. The value obtained for the energy is -1.867 eV/atom.

Unit cell a=2.8682 b=4.7490 c=13.6075 alpha=124.96 beta=83.95 gamma=72.42
Each line ends with the local moment (μB).
Fractional positions:
Hg  0.7222  0.5081  0.0476  0.00
Cl  0.1826  0.3843  0.2505  0.16
Cl  0.1883  0.9232  0.7001  0.02
Se  0.4069  0.6843  0.5018  0.08



The following is a DFT calculation (PBE-GGA) of a relaxed NaSrCdSn2 crystal.

Properties
As for the space group: I-4m2, No. 119. The calculated formation energy is -352 meV/atom. Its volume is 29.97 Å³/atom. The value obtained for the energy is -2.736 eV/atom.

Unit cell a=4.7927 b=4.7927 c=7.3519 alpha=109.02 beta=109.02 gamma=90.00
Fractional positions:
Na  0.7500  0.2500  0.5000
Cd  0.2500  0.7500  0.5000
Sn  0.6083  0.6083  0.2166
Sn  0.3917  0.3917  0.7834
Sr  0.0000  0.0000  0.0000



The following is a DFT calculation (PBE-GGA) of a relaxed PmDyAgRu crystal.

Properties
As for the space group: F-43m, No. 216. The calculated formation energy is -280 meV/atom. For the energy above the lowest structure with this stoichiometry, the calculation gives 0.064 eV per atom. Its volume is 22.43 Å³/atom. The value obtained for the energy is -5.650 eV/atom.

Unit cell a=5.0248 b=5.0248 c=5.0248 alpha=60.00 beta=60.00 gamma=60.00
Fractional positions:
Ru  0.7500  0.7500  0.7500
Ag  0.2500  0.2500  0.2500
Pm  0.5000  0.5000  0.5000
Dy  0.0000  0.0000  0.0000



The following is a DFT calculation (PBE-GGA) of a relaxed AcSmN crystal.

Properties
As for the uncorrected formation energy: -0.12 eV/atom. As for the space group: F-43m, No. 216. For the energy above the lowest structure with this stoichiometry, the calculation gives 0.639 eV per atom. Its volume is 22.53 Å³/atom. The value obtained for the energy is -5.833 eV/atom.

Unit cell a=4.5720 b=4.5720 c=4.5720 alpha=60.00 beta=60.00 gamma=60.00
Fractional positions:
Ac  0.5000  0.5000  0.5000
Sm  0.0000  0.0000  0.0000
N  0.2500  0.2500  0.2500



The following is a DFT calculation (PBE-GGA) of a relaxed Ba2LaSi crystal.

Properties
As for the uncorrected formation energy: -0.11 eV/atom. As for the space group: Amm2, No. 38. Its volume is 41.65 Å³/atom. The value obtained for the energy is -3.655 eV/atom.

Unit cell a=4.7567 b=5.1465 c=7.2762 alpha=69.27 beta=90.00 gamma=90.00
Fractional positions:
La  0.0000  0.6770  0.5215
Ba  0.0000  0.9852  0.9045
Ba  0.5000  0.2841  0.3070
Si  0.5000  0.5537  0.7670



The following is a DFT calculation (PBE-GGA) of a relaxed LiCaY2Pd crystal.

Properties
As for the space group: P4/mmm, No. 123. The calculated formation energy is -129 meV/atom. For the energy above the lowest structure with this stoichiometry, the calculation gives 0.017 eV per atom. Its volume is 33.78 Å³/atom. The value obtained for the energy is -4.536 eV/atom.

Unit cell a=5.4456 b=5.4456 c=5.6950 alpha=90.00 beta=90.00 gamma=90.00
Fractional positions:
Li  0.5000  0.5000  0.5000
Y  0.5000  0.0000  0.0000
Y  0.0000  0.5000  0.0000
Pd  0.0000  0.0000  0.0000
Ca  0.0000  0.0000  0.5000



The following is a DFT calculation (PBE-GGA) of a relaxed Tb3PaNi8 crystal.

Properties
As for the space group: R3m, No. 160. The calculated formation energy is -397 meV/atom. Its volume is 15.38 Å³/atom. The value obtained for the energy is -6.200 eV/atom.

Unit cell a=5.0749 b=5.0749 c=8.7776 alpha=73.20 beta=73.20 gamma=60.00
Fractional positions:
Pa  0.8745  0.8745  0.3764
Ni  0.6876  0.6876  0.9372
Ni  0.4372  0.4372  0.1909
Ni  0.9347  0.4372  0.1909
Ni  0.4372  0.9347  0.1909
Ni  0.9375  0.4411  0.6839
Ni  0.1879  0.1879  0.4363
Ni  0.9375  0.9375  0.6839
Ni  0.4411  0.9375  0.6839
Tb  0.0013  0.0013  0.9960
Tb  0.4988  0.4988  0.5037
Tb  0.3747  0.3747  0.8760



The following is a DFT calculation (PBE-GGA) of a relaxed Ce3FeCl3 crystal.

Properties
As for the uncorrected formation energy: -1.29 eV/atom. As for the space group: P2_1/m, No. 11. Its volume is 27.15 Å³/atom. The value obtained for the energy is -5.833 eV/atom.

Unit cell a=4.1345 b=8.4227 c=10.9159 alpha=90.31 beta=90.00 gamma=90.00
Each line ends with the local moment (μB).
Fractional positions:
Ce  0.7500  0.1053  0.3917  0.84
Ce  0.2500  0.8641  0.1620  0.65
Ce  0.7500  0.6356  0.3878  1.01
Ce  0.2500  0.3644  0.6122  1.01
Ce  0.2500  0.8947  0.6083  0.84
Ce  0.7500  0.1359  0.8380  0.65
Cl  0.7500  0.6307  0.1249  -0.01
Cl  0.7500  0.1072  0.1143  -0.01
Cl  0.2500  0.8928  0.8857  -0.01
Cl  0.2500  0.3693  0.8751  -0.01
Cl  0.2500  0.3722  0.3436  -0.01
Cl  0.7500  0.6278  0.6564  -0.01
Fe  0.7500  0.1308  0.6413  -0.30
Fe  0.2500  0.8692  0.3587  -0.30



The following is a DFT calculation (PBE-GGA) of a relaxed ZrMn2Ag crystal.

Properties
As for the space group: P4/mmm, No. 123. The calculated formation energy is 171 meV/atom. For the energy above the lowest structure with this stoichiometry, the calculation gives 0.083 eV per atom. Its volume is 16.28 Å³/atom. The value obtained for the energy is -7.264 eV/atom.

Unit cell a=4.1586 b=4.1586 c=3.7666 alpha=90.00 beta=90.00 gamma=89.99
Each line ends with the local moment (μB).
Fractional positions:
Mn  0.0000  0.0000  0.0000  2.82
Mn  0.5000  0.5000  0.0000  2.82
Zr  0.5000  0.0000  0.5000  -0.66
Ag  0.0000  0.5000  0.5000  -0.04



The following is a DFT calculation (PBE-GGA) of a relaxed Cs4Tl5Sn crystal.

Properties
As for the space group: I4mm, No. 107. The calculated formation energy is -112 meV/atom. Its volume is 48.33 Å³/atom. The value obtained for the energy is -2.037 eV/atom.

Unit cell a=6.8916 b=9.0553 c=9.0553 alpha=81.67 beta=67.63 gamma=67.63
Fractional positions:
Tl  0.1069  0.6937  0.0000
Tl  0.1069  0.0000  0.6937
Tl  0.6794  0.0000  0.0000
Tl  0.8006  0.0000  0.3063
Tl  0.8006  0.3063  0.0000
Cs  0.4464  0.2936  0.7064
Cs  0.7399  0.7064  0.7064
Cs  0.1528  0.2936  0.2936
Cs  0.4464  0.7064  0.2936
Sn  0.2099  0.0000  0.0000



The following is a DFT calculation (PBE-GGA) of a relaxed LaSmDy2Y crystal.

Properties
As for the space group: Cmcm, No. 63. The calculated formation energy is 357 meV/atom. Its volume is 35.50 Å³/atom. The value obtained for the energy is -4.706 eV/atom.

Unit cell a=7.2480 b=8.4354 c=7.1767 alpha=125.99 beta=90.00 gamma=90.00
Fractional positions:
Dy  0.5000  0.3112  0.0000
Dy  0.5000  0.6888  0.0000
Dy  0.0000  0.6888  0.0000
Dy  0.0000  0.3112  0.0000
Y  0.2500  0.7256  0.4512
Y  0.7500  0.2744  0.5488
Sm  0.2500  0.0102  0.0204
Sm  0.7500  0.9898  0.9796
La  0.7500  0.7275  0.4550
La  0.2500  0.2725  0.5450



The following is a DFT calculation (PBE-GGA) of a relaxed AlZn2Fe5 crystal.

Properties
As for the space group: I4/mmm, No. 139. The calculated formation energy is -74 meV/atom. Its volume is 12.44 Å³/atom. The value obtained for the energy is -6.149 eV/atom.

Unit cell a=3.6085 b=3.6085 c=8.0582 alpha=102.94 beta=102.94 gamma=90.00
Each line ends with the local moment (μB).
Fractional positions:
Fe  0.6233  0.1233  0.2467  2.40
Fe  0.5000  0.5000  0.0000  2.40
Fe  0.3767  0.8767  0.7533  2.40
Fe  0.1233  0.6233  0.2467  2.40
Fe  0.8767  0.3767  0.7533  2.40
Zn  0.7482  0.7482  0.4964  -0.06
Zn  0.2518  0.2518  0.5036  -0.06
Al  0.0000  0.0000  0.0000  -0.08



The following is a DFT calculation (PBE-GGA) of a relaxed TbPr4Dy3 crystal.

Properties
As for the space group: Pmn2_1, No. 31. The calculated formation energy is 31 meV/atom. For the energy above the lowest structure with this stoichiometry, the calculation gives 0.000 eV per atom. Its volume is 34.16 Å³/atom. The value obtained for the energy is -4.663 eV/atom.

Unit cell a=6.3385 b=7.3626 c=11.7104 alpha=90.00 beta=90.00 gamma=90.00
Fractional positions:
Pr  0.9831  0.1285  0.7490
Pr  0.1471  0.8706  0.5000
Pr  0.4831  0.8715  0.2490
Pr  0.1442  0.8717  0.0000
Pr  0.6442  0.1283  0.5000
Pr  0.6471  0.1294  0.0000
Pr  0.4831  0.8715  0.7510
Pr  0.9831  0.1285  0.2510
Tb  0.1489  0.3791  0.0000
Tb  0.6489  0.6209  0.5000
Dy  0.9805  0.6204  0.2498
Dy  0.4805  0.3796  0.2502
Dy  0.6479  0.6201  0.0000
Dy  0.1479  0.3799  0.5000
Dy  0.9805  0.6204  0.7502
Dy  0.4805  0.3796  0.7498



The following is a DFT calculation (PBE-GGA) of a relaxed CsZrMo2 crystal.

Properties
As for the space group: Fm-3m, No. 225. The calculated formation energy is 1697 meV/atom. For the energy above the lowest structure with this stoichiometry, the calculation gives 0.000 eV per atom. Its volume is 20.86 Å³/atom. The value obtained for the energy is -6.069 eV/atom.

Unit cell a=4.9045 b=4.9045 c=4.9045 alpha=60.00 beta=60.00 gamma=60.00
Fractional positions:
Zr  0.0000  0.0000  0.0000
Mo  0.2500  0.2500  0.2500
Mo  0.7500  0.7500  0.7500
Cs  0.5000  0.5000  0.5000



The following is a DFT calculation (PBE-GGA) of a relaxed Cs3Na7Au4 crystal.

Properties
As for the space group: C2/m, No. 12. The calculated formation energy is -190 meV/atom. Its volume is 34.77 Å³/atom. The value obtained for the energy is -1.969 eV/atom.

Unit cell a=5.1105 b=10.1090 c=10.3839 alpha=72.61 beta=75.75 gamma=75.36
Fractional positions:
Cs  0.3013  0.1809  0.2165
Cs  0.6987  0.8191  0.7835
Cs  0.0000  0.5000  0.5000
Na  0.5101  0.7635  0.2164
Na  0.6851  0.1470  0.4827
Na  0.1685  0.5875  0.0756
Na  0.8315  0.4125  0.9244
Na  0.4899  0.2365  0.7836
Na  0.3149  0.8530  0.5173
Na  0.0000  0.0000  0.0000
Au  0.6625  0.4431  0.2319
Au  0.8880  0.8923  0.3317
Au  0.3375  0.5569  0.7681
Au  0.1120  0.1077  0.6683



The following is a DFT calculation (PBE-GGA) of a relaxed AcGdCuP crystal.

Properties
As for the space group: F-43m, No. 216. The calculated formation energy is -510 meV/atom. Its volume is 24.10 Å³/atom. The value obtained for the energy is -7.434 eV/atom.

Unit cell a=5.1464 b=5.1464 c=5.1464 alpha=60.00 beta=60.00 gamma=60.00
Each line ends with the local moment (μB).
Fractional positions:
Cu  0.5000  0.5000  0.5000  0.03
Gd  0.2500  0.2500  0.2500  7.19
Ac  0.7500  0.7500  0.7500  0.12
P  0.0000  0.0000  0.0000  -0.04



The following is a DFT calculation (PBE-GGA) of a relaxed ScSiClO2 crystal.

Properties
As for the uncorrected formation energy: -1.21 eV/atom. As for the space group: P4/mmm, No. 123. Its volume is 16.42 Å³/atom. The value obtained for the energy is -5.912 eV/atom.

Unit cell a=4.0688 b=4.9588 c=4.0688 alpha=90.00 beta=90.00 gamma=90.00
Fractional positions:
O  0.5000  0.0000  0.0000
O  0.0000  0.0000  0.5000
Si  0.5000  0.5000  0.5000
Sc  0.0000  0.0000  0.0000
Cl  0.0000  0.5000  0.0000



The following is a DFT calculation (PBE-GGA) of a relaxed Sm4CoNCl2 crystal.

Properties
As for the uncorrected formation energy: -1.13 eV/atom. As for the space group: P2/m, No. 10. Its volume is 22.59 Å³/atom. The value obtained for the energy is -5.881 eV/atom.

Unit cell a=3.6887 b=6.7984 c=7.5844 alpha=108.15 beta=90.00 gamma=90.00
Fractional positions:
Sm  0.0000  0.7387  0.1951
Sm  0.5000  0.7889  0.8112
Sm  0.5000  0.2111  0.1888
Sm  0.0000  0.2613  0.8049
Cl  0.0000  0.5000  0.5000
Cl  0.5000  0.0000  0.5000
Co  0.5000  0.5000  0.0000
N  0.0000  0.0000  0.0000



The following is a DFT calculation (PBE-GGA) of a relaxed Be2AgTe crystal.

Properties
As for the uncorrected formation energy: 0.29 eV/atom. As for the space group: Cm, No. 8. Its volume is 19.91 Å³/atom. The value obtained for the energy is -3.075 eV/atom.

Unit cell a=4.1699 b=4.1699 c=5.9521 alpha=100.00 beta=100.00 gamma=51.64
Fractional positions:
Te  0.4384  0.4384  0.6098
Be  0.0172  0.0172  0.8927
Be  0.7148  0.7148  0.8773
Ag  0.3297  0.3297  0.1202